Cd3Pt: relaxed, PBE.

Cell: 5.930 4.817 5.390 Å, 90.00 90.00 90.00°
Element x y z (fractional)
Cd  0.000  0.500  0.367
Cd  0.500  0.000  0.633
Cd  0.246  0.000  0.165
Cd  0.754  0.000  0.165
Cd  0.746  0.500  0.835
Cd  0.254  0.500  0.835
Pt  0.000  0.000  0.682
Pt  0.500  0.500  0.318

* ΔE_f: -20.2 kJ per mole of atoms
* SG: Pmmn (59)
* M_tot: 0.000 μB per atom